No. 1
{
  "formula": "Na3LiIn",
  "functional": "PBE-GGA",
  "state": "optimized geometry",
  "relative_energy_ev_per_atom": 0.0000,
  "magnetic_moment_mub_per_atom": 0.0000,
  "rho_g_cm3": 2.2,
  "delta_e_f_ev_per_atom": -0.067,
  "final_energy_ry_per_atom": -0.1315,
  "lattice": [[-6.813, -4.785, -2.612], [4.006, -4.278, -2.613], [-1.720, -6.627, 8.214]],
  "species": ["Na", "Na", "Na", "Na", "Na", "Na", "Na", "Na", "Na", "Na", "Na", "Na", "Li", "Li", "Li", "Li", "In", "In", "In", "In"],
  "frac_coords": [[0.498, 0.270, 0.408], [0.498, 0.730, 0.908], [0.296, 0.229, 0.799], [0.129, 0.972, 0.083], [0.296, 0.771, 0.299], [0.502, 0.730, 0.592], [0.871, 0.972, 0.417], [0.704, 0.229, 0.701], [0.871, 0.028, 0.917], [0.704, 0.771, 0.201], [0.502, 0.270, 0.092], [0.129, 0.028, 0.583], [0.134, 0.489, 0.063], [0.134, 0.511, 0.563], [0.866, 0.489, 0.437], [0.866, 0.511, 0.937], [0.161, 0.298, 0.306], [0.839, 0.298, 0.194], [0.161, 0.702, 0.806], [0.839, 0.702, 0.694]]
}



No. 2
{
  "formula": "Na2Li3In5",
  "functional": "PBE-GGA",
  "state": "optimized geometry",
  "magnetic_moment_mub_per_atom": 0.0000,
  "rho_g_cm3": 4.5,
  "delta_e_f_ev_per_atom": -0.159,
  "final_energy_ry_per_atom": -0.1739,
  "lattice": [[-2.548, -5.364, 1.270], [7.124, -3.535, -4.257], [3.044, 1.394, 8.376]],
  "species": ["Na", "Na", "Na", "Na", "Li", "Li", "Li", "Li", "Li", "Li", "In", "In", "In", "In", "In", "In", "In", "In", "In", "In"],
  "frac_coords": [[0.894, 0.613, 0.144], [0.394, 0.144, 0.613], [0.106, 0.387, 0.856], [0.606, 0.856, 0.387], [0.589, 0.508, 0.800], [0.089, 0.800, 0.508], [0.411, 0.492, 0.200], [0.911, 0.200, 0.492], [0.250, 0.030, 0.970], [0.750, 0.970, 0.030], [0.620, 0.267, 0.961], [0.120, 0.961, 0.267], [0.380, 0.733, 0.039], [0.880, 0.039, 0.733], [0.966, 0.729, 0.810], [0.034, 0.271, 0.190], [0.750, 0.524, 0.476], [0.250, 0.476, 0.524], [0.534, 0.190, 0.271], [0.466, 0.810, 0.729]]
}



No. 3
{
  "formula": "Na2Li2In",
  "functional": "PBE-GGA",
  "state": "optimized geometry",
  "relative_energy_ev_per_atom": 0.0000,
  "magnetic_moment_mub_per_atom": 0.0000,
  "rho_g_cm3": 2.2,
  "delta_e_f_ev_per_atom": -0.017,
  "final_energy_ry_per_atom": -0.1365,
  "lattice": [[7.443, 0.000, 0.000], [0.000, 7.443, 0.000], [0.000, 0.000, 4.718]],
  "species": ["Na", "Na", "Na", "Na", "Li", "Li", "Li", "Li", "In", "In"],
  "frac_coords": [[0.176, 0.676, 0.500], [0.676, 0.824, 0.500], [0.824, 0.324, 0.500], [0.324, 0.176, 0.500], [0.358, 0.858, 0.000], [0.858, 0.642, 0.000], [0.642, 0.142, 0.000], [0.142, 0.358, 0.000], [0.000, 0.000, 0.000], [0.500, 0.500, 0.000]]
}



No. 4
{
  "formula": "NaLi5In6",
  "functional": "PBE-GGA",
  "state": "optimized geometry",
  "magnetic_moment_mub_per_atom": 0.0000,
  "rho_g_cm3": 4.9,
  "delta_e_f_ev_per_atom": -0.227,
  "final_energy_ry_per_atom": -0.1840,
  "lattice": [[-4.308, -2.646, 1.572], [3.238, -5.512, -0.762], [3.753, 4.905, 6.391]],
  "species": ["Na", "In", "In", "In", "In", "In", "In", "Li", "Li", "Li", "Li", "Li"],
  "frac_coords": [[0.000, 0.000, 0.000], [0.082, 0.425, 0.342], [0.081, 0.918, 0.343], [0.502, 0.263, 0.000], [0.498, 0.737, 0.000], [0.919, 0.082, 0.657], [0.918, 0.575, 0.658], [0.425, 0.835, 0.670], [0.560, 0.667, 0.333], [0.000, 0.500, 0.000], [0.440, 0.333, 0.667], [0.575, 0.165, 0.330]]
}